1.
# Cs2AgOsO6

A relaxed structure of Cs2AgOsO6 (PBE, OQMD via LeMat-Bulk).

a b c (Å): 5.963 5.963 5.963
angles (deg): 60.00 60.00 60.00
Positions (direct):
Cs 0.250 0.250 0.250
Cs 0.750 0.750 0.750
Ag 0.000 0.000 0.000
Os 0.500 0.500 0.500
O 0.277 0.277 0.723
O 0.277 0.723 0.277
O 0.277 0.723 0.723
O 0.723 0.277 0.277
O 0.723 0.277 0.723
O 0.723 0.723 0.277

crystal system	cubic
total magnetic moment	0.00	μB per cell
E_tot	-5.4537	eV per atom
theoretical density	7.31	g/cm³

2.
# CsAgOsO3

A relaxed structure of CsAgOsO3 (PBE, OQMD via LeMat-Bulk).

a b c (Å): 12.359 3.263 10.920
angles (deg): 90.00 90.00 90.00
Positions (direct):
Cs 0.238 0.250 0.143
Cs 0.262 0.750 0.643
Cs 0.738 0.250 0.357
Cs 0.762 0.750 0.857
Ag 0.030 0.250 0.909
Ag 0.470 0.750 0.409
Ag 0.530 0.250 0.591
Ag 0.970 0.750 0.091
Os 0.027 0.250 0.375
Os 0.473 0.750 0.875
Os 0.527 0.250 0.125
Os 0.973 0.750 0.625
O 0.057 0.750 0.767
O 0.062 0.250 0.555
O 0.117 0.750 0.339
O 0.383 0.250 0.839
O 0.438 0.750 0.055
O 0.443 0.250 0.267
O 0.557 0.750 0.733
O 0.562 0.250 0.945
O 0.617 0.750 0.161
O 0.883 0.250 0.661
O 0.938 0.750 0.445
O 0.943 0.250 0.233

crystal system	orthorhombic
total magnetic moment	3.20	μB per cell
E_tot	-5.7357	eV per atom
theoretical density	7.22	g/cm³

3.
# CsAg3OsO4

A relaxed structure of CsAg3OsO4 (PBE, OQMD via LeMat-Bulk).

a b c (Å): 5.773 5.773 5.773
angles (deg): 90.00 90.00 90.00
Positions (direct):
Cs 0.000 0.000 0.000
Ag 0.000 0.500 0.500
Ag 0.500 0.000 0.500
Ag 0.500 0.500 0.000
Os 0.500 0.500 0.500
O 0.306 0.306 0.306
O 0.306 0.694 0.694
O 0.694 0.306 0.694
O 0.694 0.694 0.306

crystal system	cubic
total magnetic moment	0.62	μB per cell
E_tot	-4.7010	eV per atom
theoretical density	6.13	g/cm³

4.
# CsAgPO

A relaxed structure of CsAgPO (PBE, OQMD via LeMat-Bulk).

a b c (Å): 4.593 4.593 8.043
angles (deg): 90.00 90.00 90.00
Positions (direct):
Cs 0.250 0.750 0.000
Cs 0.750 0.250 0.000
Ag 0.250 0.250 0.294
Ag 0.750 0.750 0.706
P 0.250 0.250 0.589
P 0.750 0.750 0.411
O 0.250 0.750 0.500
O 0.750 0.250 0.500

crystal system	tetragonal
E_tot	-2.9222	eV per atom
theoretical density	5.63	g/cm³

5.
# CsAgPO

A relaxed structure of CsAgPO (PBE, OQMD via LeMat-Bulk).

a b c (Å): 3.737 7.469 7.646
angles (deg): 90.00 90.00 90.00
Positions (direct):
Cs 0.000 0.168 0.000
Cs 0.000 0.832 0.500
Ag 0.500 0.317 0.418
Ag 0.500 0.683 0.918
P 0.500 0.454 0.697
P 0.500 0.546 0.197
O 0.000 0.200 0.389
O 0.000 0.800 0.889

crystal system	orthorhombic
E_tot	-3.4685	eV per atom
theoretical density	4.48	g/cm³

6.
# CsAgPO

A relaxed structure of CsAgPO (PBE, OQMD via LeMat-Bulk).

a b c (Å): 4.523 4.523 8.693
angles (deg): 90.00 90.00 90.00
Positions (direct):
Cs 0.250 0.750 0.000
Cs 0.750 0.250 0.000
Ag 0.250 0.250 0.290
Ag 0.750 0.750 0.710
P 0.250 0.250 0.568
P 0.750 0.750 0.432
O 0.250 0.750 0.500
O 0.750 0.250 0.500

crystal system	tetragonal
E_tot	-2.9481	eV per atom
theoretical density	5.37	g/cm³

7.
# CsAgPO

A relaxed structure of CsAgPO (PBE, OQMD via LeMat-Bulk).

a b c (Å): 6.550 3.665 8.089
angles (deg): 90.00 90.00 90.00
Positions (direct):
Cs 0.250 0.000 0.204
Cs 0.750 0.000 0.796
Ag 0.250 0.500 0.824
Ag 0.750 0.500 0.176
P 0.250 0.000 0.628
P 0.750 0.000 0.372
O 0.000 0.500 0.000
O 0.500 0.500 0.000

crystal system	orthorhombic
E_tot	-3.4754	eV per atom
theoretical density	4.92	g/cm³

8.
# CsAgPO

A relaxed structure of CsAgPO (PBE, OQMD via LeMat-Bulk).

a b c (Å): 4.395 4.395 11.211
angles (deg): 90.00 90.00 90.00
Positions (direct):
Cs 0.250 0.250 0.159
Cs 0.750 0.750 0.841
Ag 0.250 0.750 0.500
Ag 0.750 0.250 0.500
P 0.250 0.250 0.605
P 0.750 0.750 0.395
O 0.250 0.750 0.000
O 0.750 0.250 0.000

crystal system	tetragonal
E_tot	-3.3304	eV per atom
theoretical density	4.41	g/cm³